# YPtSe

A geometry-optimized YPtSe structure (PBEsol, Alexandria).

Unit cell a=3.7128 b=3.7128 c=5.1253 alpha=111.24 beta=111.24 gamma=90.00
Last column: nearest neighbours and their distance in Å.
Element x y z (fractional)
1 Pt 0.9855 0.9855 0.9711  1 Se 2.66, 4 Y 2.95
2 Se 0.6829 0.6829 0.3658  1 Pt 2.66, 4 Y 2.93
3 Y 0.3316 0.3316 0.6632  5 Se 2.93-3.09, 5 Pt 2.95-3.05

Results
* raw formation energy: -0.989 eV/atom